{"formula": "Ho2ErNpS4", "functional": "GGA-PBE", "state": "relaxed", "cell": [[6.732, 0.000, 0.000], [0.000, 3.880, 0.000], [-2.228, 0.000, 6.354]], "species": ["Ho", "Ho", "Er", "Np", "S", "S", "S", "S"], "fractional_positions": [[0.000, 0.000, 0.000], [0.000, 0.500, 0.500], [0.500, 0.000, 0.500], [0.500, 0.500, 0.000], [0.249, 0.000, 0.748], [0.250, 0.500, 0.253], [0.750, 0.500, 0.747], [0.751, 0.000, 0.252]], "formation_energy_uncorrected_ev_per_atom": -1.826, "magmom_total_mub_per_cell": 4.53, "dos_at_fermi_per_ev_atom": 1.333}